Density functional theory data (PBE) for a geometry-optimized Al3CrS6 structure.

Its crystal system is trigonal. The value obtained for the energy relative to the lowest polymorph listed for this composition is 0.1172 eV/atom. The calculation puts the formation energy from raw total energies at -0.826 eV per atom. The total magnetization is 3.00 μB per formula unit.

It has space group R-3 (No. 148, hexagonal axes), with a = 10.0980 Å, b = 10.0980 Å, c = 12.4174 Å, α = 90.00°, β = 90.00° and γ = 120.00°. The inequivalent atoms are Al at (0.0526, 0.2710, 0.2080), Cr at (0.0000, 0.0000, 0.0000), Cr at (0.0000, 0.0000, 0.5000), S at (0.0194, 0.1896, 0.8767) and S at (0.0210, 0.2076, 0.3962).